## TiNiSbS2 (PBE-GGA)

Data for a relaxed TiNiSbS2 crystal.

Unit cell a=5.005 b=5.228 c=5.005 alpha=90.00 beta=90.00 gamma=90.00
Sites, in units of the cell vectors:
Sb1 0.000 0.000 0.000
S1 0.000 0.000 0.500
S2 0.500 0.000 0.000
Ti1 0.000 0.500 0.000
Ni1 0.500 0.500 0.500

Output
Total magnetic moment = 0.002 μB per atom
Symmetry = No. 123
ΔE_f (raw) = 1229 meV/atom

=====

## TlNiSbS3 (PBE-GGA)

Data for a relaxed TlNiSbS3 crystal.

Unit cell a=3.914 b=9.169 c=8.945 alpha=100.18 beta=90.00 gamma=90.00
Sites, in units of the cell vectors:
Tl1 0.250 0.150 0.197
Tl2 0.750 0.850 0.803
Ni1 0.250 0.079 0.573
Ni2 0.750 0.921 0.427
Sb1 0.250 0.641 0.156
Sb2 0.750 0.359 0.844
S1 0.750 0.843 0.169
S2 0.250 0.157 0.831
S3 0.250 0.837 0.499
S4 0.750 0.163 0.501
S5 0.750 0.406 0.126
S6 0.250 0.594 0.874

Output
Total magnetic moment = 0.168 μB per atom
Symmetry = No. 11
ΔE_f (raw) = -287 meV/atom

=====

## Sc2NiS (PBE-GGA)

Data for a relaxed Sc2NiS crystal.

Unit cell a=7.761 b=7.761 c=7.761 alpha=28.65 beta=28.65 gamma=28.65
Sites, in units of the cell vectors:
Sc1 0.895 0.895 0.895
Sc2 0.105 0.105 0.105
Ni1 0.500 0.500 0.500
S1 0.000 0.000 0.000

Output
Total magnetic moment = 0.000 μB per atom
Symmetry = No. 166
ΔE_f (raw) = -496 meV/atom

=====

## Sc2NiS (PBE-GGA)

Data for a relaxed Sc2NiS crystal.

Unit cell a=8.202 b=8.202 c=8.202 alpha=23.67 beta=23.67 gamma=23.67
Sites, in units of the cell vectors:
Sc1 0.900 0.900 0.900
Sc2 0.100 0.100 0.100
Ni1 0.000 0.000 0.000
S1 0.500 0.500 0.500

Output
Total magnetic moment = 0.000 μB per atom
Symmetry = No. 166
ΔE_f (raw) = -464 meV/atom

=====

## ScNiS2 (PBE-GGA)

Data for a relaxed ScNiS2 crystal.

Unit cell a=5.354 b=5.354 c=6.795 alpha=66.79 beta=66.79 gamma=90.00
Sites, in units of the cell vectors:
Sc1 0.500 0.500 0.000
Sc2 0.250 0.750 0.500
Ni1 0.000 0.000 0.000
Ni2 0.750 0.250 0.500
S1 0.658 0.125 0.250
S2 0.092 0.625 0.250
S3 0.375 0.342 0.750
S4 0.875 0.908 0.750

Output
Total magnetic moment = 0.250 μB per atom
Symmetry = No. 122
ΔE_f (raw) = -1052 meV/atom

=====

## Sc2NiS (PBE-GGA)

Data for a relaxed Sc2NiS crystal.

Unit cell a=3.720 b=3.586 c=10.573 alpha=99.76 beta=90.00 gamma=90.00
Sites, in units of the cell vectors:
Sc1 0.750 0.683 0.367
Sc2 0.250 0.317 0.633
Sc3 0.750 0.932 0.864
Sc4 0.250 0.068 0.136
Ni1 0.250 0.461 0.922
Ni2 0.750 0.539 0.078
S1 0.250 0.192 0.384
S2 0.750 0.808 0.616

Output
Total magnetic moment = 0.000 μB per atom
Symmetry = No. 63
ΔE_f (raw) = -1172 meV/atom

=====

## Sc2NiS (PBE-GGA)

Data for a relaxed Sc2NiS crystal.

Unit cell a=6.645 b=6.645 c=5.873 alpha=55.55 beta=55.55 gamma=90.00
Sites, in units of the cell vectors:
Sc1 0.630 0.125 0.250
Sc2 0.120 0.625 0.250
Sc3 0.375 0.370 0.750
Sc4 0.875 0.880 0.750
Ni1 0.000 0.000 0.000
Ni2 0.750 0.250 0.500
S1 0.500 0.500 0.000
S2 0.250 0.750 0.500

Output
Total magnetic moment = 0.000 μB per atom
Symmetry = No. 122
ΔE_f (raw) = -705 meV/atom

=====

## ScNiS2 (PBE-GGA)

Data for a relaxed ScNiS2 crystal.

Unit cell a=4.406 b=4.406 c=4.406 alpha=60.00 beta=60.00 gamma=60.00
Sites, in units of the cell vectors:
Sc1 0.000 0.000 0.000
Ni1 0.500 0.500 0.500
S1 0.250 0.250 0.250
S2 0.750 0.750 0.750

Output
Total magnetic moment = 0.176 μB per atom
Symmetry = No. 225
ΔE_f (raw) = -746 meV/atom

=====

Please write out number 5 again, unchanged.
## ScNiS2 (PBE-GGA)

Data for a relaxed ScNiS2 crystal.

Unit cell a=5.354 b=5.354 c=6.795 alpha=66.79 beta=66.79 gamma=90.00
Sites, in units of the cell vectors:
Sc1 0.500 0.500 0.000
Sc2 0.250 0.750 0.500
Ni1 0.000 0.000 0.000
Ni2 0.750 0.250 0.500
S1 0.658 0.125 0.250
S2 0.092 0.625 0.250
S3 0.375 0.342 0.750
S4 0.875 0.908 0.750

Output
Total magnetic moment = 0.250 μB per atom
Symmetry = No. 122
ΔE_f (raw) = -1052 meV/atom

=====

ΔE_f (raw) of number 3 (Sc2NiS)? -496 meV/atom